## Pr2Al3Pt4 (PBE-GGA)

Data for a geometry-optimized Pr2Al3Pt4 structure.

Summary:
The electronic total energy comes out at -54.77 eV per formula unit. As for the total moment: 0.00 μB/f.u.

```
data_Pr2Al3Pt4
_chemical_formula_sum 'Pr8 Al12 Pt16'
_space_group_name_H-M_alt 'C m c e'
_space_group_IT_number 64
_space_group_name_Hall '-C 2ac 2'
_cell_length_a 5.7153
_cell_length_b 15.7372
_cell_length_c 7.6218
_cell_angle_alpha 90.00
_cell_angle_beta 90.00
_cell_angle_gamma 90.00
loop_
_atom_site_label
_atom_site_type_symbol
_atom_site_fract_x
_atom_site_fract_y
_atom_site_fract_z
Pr1 Pr 0.0000 0.1072 0.0919
Al1 Al 0.0000 0.0000 0.5000
Al2 Al 0.2500 0.2271 0.7500
Pt1 Pt 0.0000 0.1847 0.4750
Pt2 Pt 0.2500 0.0620 0.7500
```


## PrAlPt2 (PBE-GGA)

Data for a geometry-optimized PrAlPt2 structure.

Summary:
The electronic total energy comes out at -24.99 eV per formula unit. As for the total moment: 0.00 μB/f.u.

```
data_PrAlPt2
_chemical_formula_sum 'Pr4 Al4 Pt8'
_space_group_name_H-M_alt 'P n m a'
_space_group_IT_number 62
_space_group_name_Hall '-P 2ac 2n'
_cell_length_a 7.5038
_cell_length_b 7.1135
_cell_length_c 5.8964
_cell_angle_alpha 90.00
_cell_angle_beta 90.00
_cell_angle_gamma 90.00
loop_
_atom_site_label
_atom_site_type_symbol
_atom_site_fract_x
_atom_site_fract_y
_atom_site_fract_z
Pr1 Pr 0.0285 0.2500 0.1482
Al1 Al 0.1187 0.7500 0.3518
Pt1 Pt 0.1782 0.0534 0.5873
```


## Pr3Al2Pt6 (PBE-GGA)

Data for a geometry-optimized Pr3Al2Pt6 structure.

Summary:
The electronic total energy comes out at -69.67 eV per formula unit. As for the total moment: 0.00 μB/f.u.

```
data_Pr3Al2Pt6
_chemical_formula_sum 'Pr12 Al8 Pt24'
_space_group_name_H-M_alt 'I m -3 m'
_space_group_IT_number 229
_space_group_name_Hall '-I 4 2 3'
_cell_length_a 9.6729
_cell_length_b 9.6729
_cell_length_c 9.6729
_cell_angle_alpha 90.00
_cell_angle_beta 90.00
_cell_angle_gamma 90.00
loop_
_atom_site_label
_atom_site_type_symbol
_atom_site_fract_x
_atom_site_fract_y
_atom_site_fract_z
Pr1 Pr 0.0000 0.0000 0.2962
Al1 Al 0.2500 0.2500 0.2500
Pt1 Pt 0.0000 0.3210 0.3210
```


## Pr2Al5Pt3 (PBE-GGA)

Data for a geometry-optimized Pr2Al5Pt3 structure.

Summary:
The electronic total energy comes out at -55.95 eV per formula unit. As for the total moment: 0.00 μB/f.u.

```
data_Pr2Al5Pt3
_chemical_formula_sum 'Pr8 Al20 Pt12'
_space_group_name_H-M_alt 'C m c 21'
_space_group_IT_number 36
_space_group_name_Hall 'C 2c -2'
_cell_length_a 4.3843
_cell_length_b 25.6025
_cell_length_c 6.8520
_cell_angle_alpha 90.00
_cell_angle_beta 90.00
_cell_angle_gamma 90.00
loop_
_atom_site_label
_atom_site_type_symbol
_atom_site_fract_x
_atom_site_fract_y
_atom_site_fract_z
Pr1 Pr 0.0000 0.0184 0.0000
Pr2 Pr 0.0000 0.3246 0.0278
Al1 Al 0.0000 0.1028 0.3521
Al2 Al 0.0000 0.2072 0.8427
Al3 Al 0.0000 0.2118 0.2402
Al4 Al 0.0000 0.3729 0.5072
Al5 Al 0.0000 0.4434 0.1710
Pt1 Pt 0.0000 0.1086 0.7436
Pt2 Pt 0.0000 0.2738 0.5434
Pt3 Pt 0.0000 0.4463 0.7863
```


## Pr2Al5Pt (PBE-GGA)

Data for a geometry-optimized Pr2Al5Pt structure.

Summary:
The electronic total energy comes out at -38.47 eV per formula unit. As for the total moment: 0.00 μB/f.u.

```
data_Pr2Al5Pt
_chemical_formula_sum 'Pr4 Al10 Pt2'
_space_group_name_H-M_alt 'I 4 m m'
_space_group_IT_number 107
_space_group_name_Hall 'I 4 -2'
_cell_length_a 6.2414
_cell_length_b 6.2414
_cell_length_c 9.2471
_cell_angle_alpha 90.00
_cell_angle_beta 90.00
_cell_angle_gamma 90.00
loop_
_atom_site_label
_atom_site_type_symbol
_atom_site_fract_x
_atom_site_fract_y
_atom_site_fract_z
Pr1 Pr 0.0000 0.5000 0.0000
Al1 Al 0.0000 0.0000 0.0300
Al2 Al 0.2177 0.2177 0.2481
Pt1 Pt 0.0000 0.0000 0.7640
```


## PrAl4Pt2Rh (PBE-GGA)

Data for a geometry-optimized PrAl4Pt2Rh structure.

Summary:
The electronic total energy comes out at -46.79 eV per formula unit. As for the total moment: 0.00 μB/f.u.

```
data_PrAl4Pt2Rh
_chemical_formula_sum 'Pr3 Al12 Pt6 Rh3'
_space_group_name_H-M_alt 'R -3 m'
_space_group_IT_number 166
_space_group_name_Hall '-R 3 2"'
_cell_length_a 4.2646
_cell_length_b 4.2646
_cell_length_c 27.0381
_cell_angle_alpha 90.00
_cell_angle_beta 90.00
_cell_angle_gamma 120.00
loop_
_atom_site_label
_atom_site_type_symbol
_atom_site_fract_x
_atom_site_fract_y
_atom_site_fract_z
Pr1 Pr 0.0000 0.0000 0.0000
Al1 Al 0.0000 0.0000 0.1337
Al2 Al 0.0000 0.0000 0.4054
Pt1 Pt 0.0000 0.0000 0.2321
Rh1 Rh 0.0000 0.0000 0.5000
```


## PrAl4PtRh2 (PBE-GGA)

Data for a geometry-optimized PrAl4PtRh2 structure.

Summary:
The electronic total energy comes out at -47.44 eV per formula unit. As for the total moment: 0.00 μB/f.u.

```
data_PrAl4PtRh2
_chemical_formula_sum 'Pr3 Al12 Pt3 Rh6'
_space_group_name_H-M_alt 'R -3 m'
_space_group_IT_number 166
_space_group_name_Hall '-R 3 2"'
_cell_length_a 4.2406
_cell_length_b 4.2406
_cell_length_c 27.1600
_cell_angle_alpha 90.00
_cell_angle_beta 90.00
_cell_angle_gamma 120.00
loop_
_atom_site_label
_atom_site_type_symbol
_atom_site_fract_x
_atom_site_fract_y
_atom_site_fract_z
Pr1 Pr 0.0000 0.0000 0.0000
Al1 Al 0.0000 0.0000 0.1307
Al2 Al 0.0000 0.0000 0.4055
Pt1 Pt 0.0000 0.0000 0.5000
Rh1 Rh 0.0000 0.0000 0.2296
```


## Pr2Al3Pt12Rh (PBE-GGA)

Data for a geometry-optimized Pr2Al3Pt12Rh structure.

Summary:
The electronic total energy comes out at -107.25 eV per formula unit. As for the total moment: 0.00 μB/f.u.

```
data_Pr2Al3Pt12Rh
_chemical_formula_sum 'Pr6 Al9 Pt36 Rh3'
_space_group_name_H-M_alt 'R -3 m'
_space_group_IT_number 166
_space_group_name_Hall '-R 3 2"'
_cell_length_a 8.0729
_cell_length_b 8.0729
_cell_length_c 19.5650
_cell_angle_alpha 90.00
_cell_angle_beta 90.00
_cell_angle_gamma 120.00
loop_
_atom_site_label
_atom_site_type_symbol
_atom_site_fract_x
_atom_site_fract_y
_atom_site_fract_z
Pr1 Pr 0.0000 0.0000 0.1222
Al1 Al 0.0000 0.5000 0.0000
Pt1 Pt 0.0055 0.5028 0.3741
Pt2 Pt 0.0095 0.5047 0.8757
Rh1 Rh 0.0000 0.0000 0.5000
```


- What is the formula in the second record?
  PrAlPt2


What did the first record say?
## Pr2Al3Pt4 (PBE-GGA)

Data for a geometry-optimized Pr2Al3Pt4 structure.

Summary:
The electronic total energy comes out at -54.77 eV per formula unit. As for the total moment: 0.00 μB/f.u.

```
data_Pr2Al3Pt4
_chemical_formula_sum 'Pr8 Al12 Pt16'
_space_group_name_H-M_alt 'C m c e'
_space_group_IT_number 64
_space_group_name_Hall '-C 2ac 2'
_cell_length_a 5.7153
_cell_length_b 15.7372
_cell_length_c 7.6218
_cell_angle_alpha 90.00
_cell_angle_beta 90.00
_cell_angle_gamma 90.00
loop_
_atom_site_label
_atom_site_type_symbol
_atom_site_fract_x
_atom_site_fract_y
_atom_site_fract_z
Pr1 Pr 0.0000 0.1072 0.0919
Al1 Al 0.0000 0.0000 0.5000
Al2 Al 0.2500 0.2271 0.7500
Pt1 Pt 0.0000 0.1847 0.4750
Pt2 Pt 0.2500 0.0620 0.7500
```


- What is the total moment in the eighth record?
  0.00 μB/f.u.